Below is a relaxed LaGd2Si2 crystal, with properties calculated at the PBE level.

a = 7.7983 Å, b = 7.7983 Å, c = 4.1298 Å
α = 90.00°, β = 90.00°, γ = 90.00°
Last column: nearest neighbours and their distance in Å.
Space group P4/mbm (No. 127)
Unique sites:
La 0.0000 0.0000 0.0000  4 Si 3.15
Gd 0.1756 0.3244 0.5000  6 Si 3.09-3.13
Si 0.1114 0.6114 0.0000  1 Si 2.46

***

Below is a relaxed CdAs2O crystal, with properties calculated at the PBE level.

a = 3.7179 Å, b = 4.8835 Å, c = 9.6304 Å
α = 90.00°, β = 90.00°, γ = 90.00°
Last column: nearest neighbours and their distance in Å.
Space group Pmc2_1 (No. 26)
Unique sites:
Cd 0.0000 0.0259 0.0000  2 O 2.35, 1 As 2.61
As 0.0000 0.2249 0.2514  2 As 2.49, 2 Cd 2.61-2.69
As 0.5000 0.4793 0.3649  1 O 1.80
O 0.5000 0.2662 0.5170  1 As 1.80

***

Below is a relaxed CoReBiW crystal, with properties calculated at the PBE level.

a = 6.4369 Å, b = 6.4369 Å, c = 6.4369 Å
α = 90.00°, β = 90.00°, γ = 90.00°
Last column: nearest neighbours and their distance in Å.
Space group F-43m (No. 216)
Unique sites:
Co 0.0000 0.0000 0.0000  4 Bi 2.79, 4 W 2.79
Re 0.0000 0.0000 0.5000  4 W 2.79, 4 Bi 2.79
Bi 0.2500 0.2500 0.7500  4 Re 2.79, 4 Co 2.79
W 0.2500 0.2500 0.2500  4 Co 2.79, 4 Re 2.79

***

Below is a relaxed Zr3Zn3C crystal, with properties calculated at the PBE level.

a = 12.2582 Å, b = 12.2582 Å, c = 12.2582 Å
α = 90.00°, β = 90.00°, γ = 90.00°
Last column: nearest neighbours and their distance in Å.
Space group Fd-3m (No. 227, origin choice 2)
Unique sites:
Zr 0.0650 0.3750 0.3750  2 C 2.31
Zn 0.0000 0.0000 0.5000  6 Zn 2.63
Zn 0.0444 0.0444 0.7056  6 Zn 2.63-2.79, 3 Zr 2.95
C 0.0000 0.0000 0.0000  6 Zr 2.31

***

Below is a relaxed ZrCuBAu crystal, with properties calculated at the PBE level.

a = 6.2308 Å, b = 6.2308 Å, c = 6.2308 Å
α = 90.00°, β = 90.00°, γ = 90.00°
Last column: nearest neighbours and their distance in Å.
Space group F-43m (No. 216)
Unique sites:
Zr 0.0000 0.0000 0.0000  4 Au 2.70, 4 Cu 2.70
Cu 0.2500 0.2500 0.7500  4 Zr 2.70, 4 B 2.70
B 0.0000 0.0000 0.5000  4 Cu 2.70, 4 Au 2.70
Au 0.2500 0.2500 0.2500  4 B 2.70, 4 Zr 2.70

***

Below is a relaxed HfC8 crystal, with properties calculated at the PBE level.

a = 5.0173 Å, b = 5.0173 Å, c = 3.9079 Å
α = 90.00°, β = 90.00°, γ = 120.00°
Last column: nearest neighbours and their distance in Å.
Space group P6/mmm (No. 191)
Unique sites:
Hf 0.0000 0.0000 0.0000  12 C 2.44
C 0.1686 0.3372 0.5000  3 C 1.43-1.47
C 0.3333 0.6667 0.5000  3 C 1.43

***

Calculated E_tot (eV per atom), listed in the same order as above: -5.630, -4.194, -8.315, -6.006, -5.131, -9.062